Record 1
# K3Er3TeS8

A geometry-optimized K3Er3TeS8 structure (PBE, Alexandria via LeMat-Bulk).

extended XYZ file:
```
15
Lattice="3.9796 2.2976 7.4788 -3.9796 2.2976 7.4788 0.0000 -4.5953 7.4788" Properties=species:S:1:pos:R:3 pbc="T T T"
K -1.9898 -1.1488 7.4788
K -1.9898 1.1488 14.9575
K 0.0000 2.2976 7.4788
Er -3.9796 0.0000 11.2181
Er -1.9898 1.1488 3.7394
Er 1.9898 1.1488 3.7394
Te 0.0000 0.0000 11.2181
S 0.0000 0.0000 5.2207
S -1.9583 -1.1306 12.6828
S 0.0000 -2.2612 9.7535
S -1.9583 1.1306 9.7535
S 1.9583 -1.1306 12.6828
S 0.0000 2.2612 12.6828
S 1.9583 1.1306 9.7535
S 0.0000 0.0000 17.2156
```

Calculated values
E_form (uncorrected) (meV/atom): -1512.6
Fermi-level density of states (states/eV/cell): 0.00
ρ (kg/m3): 4060
Magnetic moment (μB/f.u.): 0.000
Space group: R-3m, No. 166



Record 2
# PmGa4Pt2

A geometry-optimized PmGa4Pt2 structure (PBE, Alexandria via LeMat-Bulk).

extended XYZ file:
```
14
Lattice="7.8688 0.0000 0.0000 0.0000 7.8688 0.0000 0.0000 0.0000 4.2311" Properties=species:S:1:pos:R:3 pbc="T T T"
Pm 0.0000 0.0000 0.0000
Pm 3.9344 3.9344 2.1156
Ga 0.6687 2.5956 2.1156
Ga 1.3387 4.6031 0.0000
Ga 2.5956 0.6687 2.1156
Ga 3.2656 6.5300 0.0000
Ga 4.6031 1.3387 0.0000
Ga 5.2731 7.2000 2.1156
Ga 6.5300 3.2656 0.0000
Ga 7.2000 5.2731 2.1156
Pt 1.7055 6.1633 2.1156
Pt 2.2289 2.2289 0.0000
Pt 5.6399 5.6399 0.0000
Pt 6.1633 1.7055 2.1156
```

Calculated values
Energy above the lowest structure with this stoichiometry (meV/atom): 135
Fermi-level density of states (states/eV/cell): 6.20
ρ (kg/m3): 10320
Magnetic moment (μB/f.u.): 0.000
Space group: P4_2/mnm, No. 136
Formation enthalpy at 0 K (eV/atom): -0.691



Record 3
# CuSeO4

A geometry-optimized CuSeO4 structure (PBE, Alexandria via LeMat-Bulk).

extended XYZ file:
```
12
Lattice="2.7861 -4.0749 0.0000 2.7861 4.0749 0.0000 0.0000 0.0000 6.6550" Properties=species:S:1:pos:R:3 pbc="T T T"
Cu 0.0000 0.0000 0.0000
Cu 0.0000 0.0000 3.3275
Se 2.7861 1.2450 4.9913
Se 2.7861 -1.2450 1.6638
O 1.4021 0.2430 4.9913
O 2.7861 2.1338 3.5762
O 2.7861 2.1338 6.4064
O 1.4021 -0.2430 1.6638
O 4.1700 0.2430 4.9913
O 2.7861 -2.1338 0.2486
O 2.7861 -2.1338 3.0789
O 4.1700 -0.2430 1.6638
```

Calculated values
E_form (uncorrected) (meV/atom): -520.2
Fermi-level density of states (states/eV/cell): 3.54
ρ (kg/m3): 4539
Magnetic moment (μB/f.u.): 1.011
Space group: Cmcm, No. 63



Record 4
# ErSi3Rh2

A geometry-optimized ErSi3Rh2 structure (PBE, Alexandria via LeMat-Bulk).

extended XYZ file:
```
12
Lattice="4.5839 -3.7421 0.0000 4.5839 3.7421 0.0000 0.0000 0.0000 5.5449" Properties=species:S:1:pos:R:3 pbc="T T T"
Er 4.5839 2.5145 4.1587
Er 4.5839 -2.5145 1.3862
Si 3.2527 2.2321 1.3862
Si 5.9151 2.2321 1.3862
Si 4.5839 0.2712 1.3862
Si 4.5839 -0.2712 4.1587
Si 3.2527 -2.2321 4.1587
Si 5.9151 -2.2321 4.1587
Rh 2.6006 0.0000 0.0000
Rh 2.6006 0.0000 2.7725
Rh 6.5673 0.0000 0.0000
Rh 6.5673 0.0000 2.7725
```

Calculated values
E_form (uncorrected) (meV/atom): -781.4
Fermi-level density of states (states/eV/cell): 3.38
ρ (kg/m3): 7984
Magnetic moment (μB/f.u.): 0.000
Space group: Cmcm, No. 63



Record 5
# AlCu6Ni

A geometry-optimized AlCu6Ni structure (PBE, Alexandria via LeMat-Bulk).

extended XYZ file:
```
8
Lattice="2.3899 1.3798 6.5014 -2.3899 1.3798 6.5014 0.0000 -2.7596 6.5014" Properties=species:S:1:pos:R:3 pbc="T T T"
Al 0.0000 0.0000 0.0000
Cu 0.0000 -1.3759 4.4565
Cu -1.1916 0.6880 4.4565
Cu -1.1916 -0.6880 15.0477
Cu 1.1916 0.6880 4.4565
Cu 1.1916 -0.6880 15.0478
Cu 0.0000 1.3759 15.0478
Ni 0.0000 0.0000 9.7521
```

Calculated values
Energy above the lowest structure with this stoichiometry (meV/atom): 378
Fermi-level density of states (states/eV/cell): 4.62
ρ (kg/m3): 6028
Magnetic moment (μB/f.u.): 0.278
Space group: R-3m, No. 166
Formation enthalpy at 0 K (eV/atom): 0.386



Record 6
# KInIr2

A geometry-optimized KInIr2 structure (PBE, Alexandria via LeMat-Bulk).

extended XYZ file:
```
4
Lattice="2.9613 0.0000 0.0000 0.0000 2.9613 0.0000 0.0000 0.0000 9.0692" Properties=species:S:1:pos:R:3 pbc="T T T"
K 0.0000 0.0000 0.0000
In 0.0000 0.0000 4.5346
Ir 1.4806 1.4806 2.6663
Ir 1.4806 1.4806 6.4029
```

Calculated values
Fermi-level density of states (states/eV/cell): 4.74
ρ (kg/m3): 11240
Magnetic moment (μB/f.u.): 0.000
Space group: P4/mmm, No. 123
Formation enthalpy at 0 K (eV/atom): 0.526



- Which formula does entry 4 have?
  ErSi3Rh2